The following is a DFT calculation (PBE) of crystalline HoSiRh3 at its relaxed geometry.

```
data_HoSiRh3
_cell_length_a 5.4743
_cell_length_b 7.5697
_cell_length_c 8.1696
_cell_angle_alpha 90.00
_cell_angle_beta 90.00
_cell_angle_gamma 90.00
_space_group_name_H-M_alt 'I m m a'
_space_group_IT_number 74
_space_group_name_Hall '-I 2b 2'
loop_
_atom_site_label
_atom_site_type_symbol
_atom_site_fract_x
_atom_site_fract_y
_atom_site_fract_z
Ho1 Ho 0.0000 0.2500 0.0043
Si1 Si 0.0000 0.0000 0.5000
Rh1 Rh 0.0000 0.2500 0.6702
Rh2 Rh 0.2500 0.0485 0.2500
```

Summary:
- Raw formation energy: -0.717 eV/atom
- E above lowest polymorph: 81 meV/atom
- N(E_F): 0.510 states/eV per atom
- Calculated volume: 16.93 Å³ per atom
- Density: 9.84 g cm⁻³

=====

The following is a DFT calculation (PBE) of crystalline Ho4Hg2Pb at its relaxed geometry.

```
data_Ho4Hg2Pb
_cell_length_a 5.1410
_cell_length_b 5.1410
_cell_length_c 26.3769
_cell_angle_alpha 90.00
_cell_angle_beta 90.00
_cell_angle_gamma 120.00
_space_group_name_H-M_alt 'R -3 m'
_space_group_IT_number 166
_space_group_name_Hall '-R 3 2"'
loop_
_atom_site_label
_atom_site_type_symbol
_atom_site_fract_x
_atom_site_fract_y
_atom_site_fract_z
Ho1 Ho 0.0000 0.0000 0.1183
Ho2 Ho 0.0000 0.0000 0.3710
Hg1 Hg 0.0000 0.0000 0.2577
Pb1 Pb 0.0000 0.0000 0.5000
```

Summary:
- Energy of formation from the pure elements: -285.2 meV per atom
- N(E_F): 1.121 states/eV per atom
- Calculated volume: 28.75 Å³ per atom
- Density: 10.46 g cm⁻³

=====

The following is a DFT calculation (PBE) of crystalline Li3Al2 at its relaxed geometry.

```
data_Li3Al2
_cell_length_a 4.4493
_cell_length_b 4.4493
_cell_length_c 14.1078
_cell_angle_alpha 90.00
_cell_angle_beta 90.00
_cell_angle_gamma 120.00
_space_group_name_H-M_alt 'R -3 m'
_space_group_IT_number 166
_space_group_name_Hall '-R 3 2"'
loop_
_atom_site_label
_atom_site_type_symbol
_atom_site_fract_x
_atom_site_fract_y
_atom_site_fract_z
Li1 Li 0.0000 0.0000 0.0000
Li2 Li 0.0000 0.0000 0.4026
Al1 Al 0.0000 0.0000 0.1986
```

Summary:
- Energy of formation from the pure elements: -182.8 meV per atom
- E above lowest polymorph: 0 meV/atom
- N(E_F): 0.229 states/eV per atom
- Calculated volume: 16.12 Å³ per atom
- Density: 1.54 g cm⁻³

=====

The following is a DFT calculation (PBE) of crystalline CeGa9Fe2 at its relaxed geometry.

```
data_CeGa9Fe2
_cell_length_a 10.4721
_cell_length_b 10.4721
_cell_length_c 7.1500
_cell_angle_alpha 90.00
_cell_angle_beta 90.00
_cell_angle_gamma 90.00
_space_group_name_H-M_alt 'I 41/a m d'
_space_group_IT_number 141
loop_
_space_group_symop_operation_xyz
'x,y,z'
'-x,-y,-z'
'-y+1/4,x+3/4,z+1/4'
'y+1/4,-x+3/4,-z+1/4'
'-x+1/2,-y,z+1/2'
'x+1/2,y,-z+1/2'
'y+1/4,-x+1/4,z+3/4'
'-y+1/4,x+1/4,-z+3/4'
'x,-y,-z'
'-x,y,z'
'-y+1/4,-x+1/4,-z+3/4'
'y+1/4,x+1/4,z+3/4'
'-x+1/2,y,-z+1/2'
'x+1/2,-y,z+1/2'
'y+1/4,x+3/4,-z+1/4'
'-y+1/4,-x+3/4,z+1/4'
'x+1/2,y+1/2,z+1/2'
'-x+1/2,-y+1/2,-z+1/2'
'-y+3/4,x+1/4,z+3/4'
'y+3/4,-x+1/4,-z+3/4'
'-x,-y+1/2,z'
'x,y+1/2,-z'
'y+3/4,-x+3/4,z+1/4'
'-y+3/4,x+3/4,-z+1/4'
'x+1/2,-y+1/2,-z+1/2'
'-x+1/2,y+1/2,z+1/2'
'-y+3/4,-x+3/4,-z+1/4'
'y+3/4,x+3/4,z+1/4'
'-x,y+1/2,-z'
'x,-y+1/2,z'
'y+3/4,x+1/4,-z+3/4'
'-y+3/4,-x+1/4,z+3/4'
loop_
_atom_site_label
_atom_site_type_symbol
_atom_site_fract_x
_atom_site_fract_y
_atom_site_fract_z
Ce1 Ce 0.0000 0.2500 0.3750
Ga1 Ga 0.0000 0.2500 0.8750
Ga2 Ga 0.1214 0.0511 0.6896
Fe1 Fe 0.0000 0.0000 0.0000
```

Summary:
- Energy of formation from the pure elements: -158.2 meV per atom
- N(E_F): 0.847 states/eV per atom
- Calculated volume: 16.34 Å³ per atom
- Density: 7.45 g cm⁻³

=====

The following is a DFT calculation (PBE) of crystalline TeW2Se2 at its relaxed geometry.

```
data_TeW2Se2
_cell_length_a 4.9525
_cell_length_b 4.9525
_cell_length_c 12.5119
_cell_angle_alpha 90.00
_cell_angle_beta 90.00
_cell_angle_gamma 90.00
_space_group_name_H-M_alt 'I 4/m m m'
_space_group_IT_number 139
_space_group_name_Hall '-I 4 2'
loop_
_atom_site_label
_atom_site_type_symbol
_atom_site_fract_x
_atom_site_fract_y
_atom_site_fract_z
Te1 Te 0.0000 0.0000 0.0000
W1 W 0.0000 0.0000 0.1984
Se1 Se 0.0000 0.5000 0.2500
```

Summary:
- Raw formation energy: 0.704 eV/atom
- N(E_F): 0.863 states/eV per atom
- Calculated volume: 30.69 Å³ per atom
- Density: 7.07 g cm⁻³

=====

The following is a DFT calculation (PBE) of crystalline NaAcSb2 at its relaxed geometry.

```
data_NaAcSb2
_cell_length_a 7.9691
_cell_length_b 7.9691
_cell_length_c 7.9691
_cell_angle_alpha 90.00
_cell_angle_beta 90.00
_cell_angle_gamma 90.00
_space_group_name_H-M_alt 'F m -3 m'
_space_group_IT_number 225
_space_group_name_Hall '-F 4 2 3'
loop_
_atom_site_label
_atom_site_type_symbol
_atom_site_fract_x
_atom_site_fract_y
_atom_site_fract_z
Na1 Na 0.0000 0.0000 0.0000
Ac1 Ac 0.0000 0.0000 0.5000
Sb1 Sb 0.2500 0.2500 0.2500
```

Summary:
- Raw formation energy: -0.583 eV/atom
- E above lowest polymorph: 175 meV/atom
- N(E_F): 1.031 states/eV per atom
- Calculated volume: 31.63 Å³ per atom
- Density: 6.48 g cm⁻³